Entry from the Alexandria database: an optimized crystal structure of Sm3Hg5Pb (PBE).

Calculated values
For the density, the calculation gives 11.66 Mg/m³. Its final energy is -46.51 eV per cell. The value obtained for the magnetic moment is 0.0000 μB per atom. For the energy relative to the elements, the calculation gives -0.43 eV/atom. The volume is 26.28 A^3/atom.

Cell: 9.1503 9.1503 6.5242 Å, 90.00 90.00 120.00°
Closest atoms and distances in Å follow each position.
Space group P6_3/mcm (No. 193)
One atom of each set of equivalent atoms:
Sm (0.0000, 0.3371, 0.2500) (multiplicity 6)  5 Hg 2.99-3.26
Hg (0.0000, 0.3364, 0.7500) (multiplicity 6)  5 Sm 2.99-3.26
Hg (0.3333, 0.6667, 0.0000) (multiplicity 4)  8 Hg 3.26-3.45, 6 Sm 3.44
Pb (0.0000, 0.0000, 0.0000) (multiplicity 2)  2 Pb 3.26, 6 Hg 3.48, 6 Sm 3.49

***

Entry from the Alexandria database: an optimized crystal structure of YCuTe2As (PBE).

Calculated values
For the density, the calculation gives 5.93 Mg/m³. Its final energy is -20.83 eV per cell. The value obtained for the magnetic moment is 0.0000 μB per atom. For the formation energy (no corrections), the calculation gives 133 meV/atom. The volume is 27.01 A^3/atom.

Cell: 4.9863 4.9863 5.4327 Å, 90.00 90.00 90.00°
Closest atoms and distances in Å follow each position.
Space group P4/mmm (No. 123)
One atom of each set of equivalent atoms:
Y (0.0000, 0.0000, 0.0000) (multiplicity 1)  2 Cu 2.72
Cu (0.0000, 0.0000, 0.5000) (multiplicity 1)  4 Te 2.49, 2 Y 2.72
Te (0.0000, 0.5000, 0.5000) (multiplicity 2)  2 Cu 2.49
As (0.5000, 0.5000, 0.0000) (multiplicity 1)  4 Y 3.53, 8 Te 3.69

***

Entry from the Alexandria database: an optimized crystal structure of KSe2BrN (PBE).

Calculated values
For the density, the calculation gives 2.18 Mg/m³. Its final energy is -10.93 eV per cell. The value obtained for the magnetic moment is 1.4009 μB per atom. The polymorph energy (0 for the lowest one) is 1.2470 eV/atom. For the formation energy (no corrections), the calculation gives 1427 meV/atom. The volume is 44.33 A^3/atom.

Cell: 6.3779 6.3779 5.4495 Å, 90.00 90.00 90.00°
Closest atoms and distances in Å follow each position.
Space group P4/mmm (No. 123)
One atom of each set of equivalent atoms:
K (0.0000, 0.0000, 0.0000) (multiplicity 1)  2 N 2.72
Se (0.0000, 0.5000, 0.0000) (multiplicity 2)  2 K 3.19
Br (0.5000, 0.5000, 0.5000) (multiplicity 1)  8 Se 4.19, 4 N 4.51
N (0.0000, 0.0000, 0.5000) (multiplicity 1)  2 K 2.72

***

Entry from the Alexandria database: an optimized crystal structure of MnSbPb (PBE).

Calculated values
For the density, the calculation gives 8.19 Mg/m³. Its final energy is -33.22 eV per cell. The value obtained for the magnetic moment is 1.1878 μB per atom. The polymorph energy (0 for the lowest one) is 0.0000 eV/atom. For the formation energy (no corrections), the calculation gives 130 meV/atom. The volume is 25.93 A^3/atom.

Cell: 4.3771 4.3771 8.1215 Å, 90.00 90.00 90.00°
Closest atoms and distances in Å follow each position.
Space group P4/nmm (No. 129, origin choice 2)
One atom of each set of equivalent atoms:
Mn (0.2500, 0.7500, 0.0000) (multiplicity 2)  4 Sb 2.77, 4 Mn 3.10
Sb (0.2500, 0.2500, 0.2091) (multiplicity 2)  4 Mn 2.77
Pb (0.2500, 0.2500, 0.6838) (multiplicity 2)  4 Sb 3.21, 4 Mn 3.37

***

Entry from the Alexandria database: an optimized crystal structure of BaAsRhF (PBE).

Calculated values
For the density, the calculation gives 6.49 Mg/m³. Its final energy is -47.27 eV per cell. The value obtained for the magnetic moment is 0.0937 μB per atom. For the formation energy (no corrections), the calculation gives -1959 meV/atom. The volume is 21.39 A^3/atom.

Cell: 4.2921 4.2921 9.2876 Å, 90.00 90.00 90.00°
Closest atoms and distances in Å follow each position.
Space group P4/nmm (No. 129, origin choice 2)
One atom of each set of equivalent atoms:
Ba (0.2500, 0.2500, 0.1701) (multiplicity 2)  4 F 2.66
As (0.2500, 0.2500, 0.6346) (multiplicity 2)  4 Rh 2.48
Rh (0.2500, 0.7500, 0.5000) (multiplicity 2)  4 As 2.48
F (0.2500, 0.7500, 0.0000) (multiplicity 2)  4 Ba 2.66

***

Entry from the Alexandria database: an optimized crystal structure of Rb3LiCu2Br8 (PBE).

Calculated values
For the density, the calculation gives 3.62 Mg/m³. Its final energy is -41.20 eV per cell. The value obtained for the magnetic moment is 0.1529 μB per atom. For the formation energy (no corrections), the calculation gives -1058 meV/atom. The volume is 33.70 A^3/atom.

Cell: 7.4545 7.4545 9.8034 Å, 90.00 90.00 120.00°
Closest atoms and distances in Å follow each position.
Space group P-3m1 (No. 164)
One atom of each set of equivalent atoms:
Rb (0.0000, 0.0000, 0.0000) (multiplicity 1)  6 Br 3.78
Rb (0.3333, 0.6667, 0.6279) (multiplicity 2)  10 Br 3.41-3.76
Li (0.0000, 0.0000, 0.5000) (multiplicity 1)  6 Br 2.75
Cu (0.3333, 0.6667, 0.2147) (multiplicity 2)  4 Br 2.34-2.43
Br (0.1632, 0.3265, 0.3205) (multiplicity 6)  1 Cu 2.43
Br (0.3333, 0.6667, 0.9760) (multiplicity 2)  1 Cu 2.34